Entry 1:
First-principles (PBE) data for a relaxed NaZnP crystal, as listed in OQMD.

The structure belongs to space group Cc (No. 9); the cell edges are 4.0410, 6.9918 and 8.6055 Å and the angles 90.00°, 90.03° and 90.00°. Symmetry generates all atoms from Na at (0.0000, 0.0000, 0.0000), Zn at (0.4954, 0.1659, 0.2499) and P at (0.4952, 0.1676, 0.7487).

The total energy is -37.1 eV for the cell shown.

---

Entry 2:
First-principles (PBE) data for a relaxed AsPd9 crystal, as listed in OQMD.

The structure belongs to space group Pmmn (No. 59, origin choice 2); the cell edges are 2.8339, 3.8451 and 37.3074 Å and the angles 90.00°, 90.00° and 90.00°. Symmetry generates all atoms from As at (0.2500, 0.2500, 0.1509), Pd at (0.2500, 0.2500, 0.2182), Pd at (0.2500, 0.2500, 0.2936), Pd at (0.2500, 0.2500, 0.3690), Pd at (0.2500, 0.2500, 0.4439), Pd at (0.2500, 0.2500, 0.5187), Pd at (0.2500, 0.2500, 0.5937), Pd at (0.2500, 0.2500, 0.6688), Pd at (0.2500, 0.2500, 0.7438) and Pd at (0.2500, 0.2500, 0.8222).

The polymorph energy (0 for the lowest one) comes out at 0.00 kcal/mol of atoms.

---

Entry 3:
First-principles (PBE) data for a relaxed Cu2Ag crystal, as listed in OQMD.

The structure belongs to space group C2/m (No. 12); the cell edges are 8.9117, 2.7411 and 11.1360 Å and the angles 90.00°, 113.27° and 90.00°. Symmetry generates all atoms from Cu at (0.0834, 0.0000, 0.2485), Cu at (0.1163, 0.5000, 0.4468), Cu at (0.1490, 0.0000, 0.6437), Ag at (0.0000, 0.5000, 0.0000) and Ag at (0.2008, 0.5000, 0.8651).

For the energy of formation, the calculation gives 6.7 kJ/mol of atoms. The polymorph energy (0 for the lowest one) comes out at 0.55 kcal/mol of atoms.

---

What did the first record say?
First-principles (PBE) data for a relaxed NaZnP crystal, as listed in OQMD.

The structure belongs to space group Cc (No. 9); the cell edges are 4.0410, 6.9918 and 8.6055 Å and the angles 90.00°, 90.03° and 90.00°. Symmetry generates all atoms from Na at (0.0000, 0.0000, 0.0000), Zn at (0.4954, 0.1659, 0.2499) and P at (0.4952, 0.1676, 0.7487).

The total energy is -37.1 eV for the cell shown.